{"formula": "Fe2NiAs", "functional": "PBE-GGA", "state": "optimized geometry", "dft_energy_ev_per_cell": -27.20, "ef_ev_per_atom": 0.0402, "mass_density_g_cm3": 8.2, "crystal_system": "orthorhombic", "cell": [[-2.133, 0.578, -1.510], [0.666, -3.046, -2.105], [-2.861, -2.703, 3.006]], "species": ["Fe", "Fe", "Ni", "As"], "frac_coords": [[0.000, 0.000, 0.493], [0.000, 0.000, 0.007], [0.500, 0.500, 0.250], [0.500, 0.500, 0.750]]}

=====

{"formula": "PuHg2Pd", "functional": "PBE-GGA", "state": "optimized geometry", "dft_energy_ev_per_cell": -42.07, "ef_ev_per_atom": -0.2265, "mass_density_g_cm3": 13.7, "crystal_system": "monoclinic", "cell": [[5.119, 0.138, 0.000], [-1.232, 5.320, 0.000], [0.000, 0.000, 6.650]], "species": ["Pd", "Pd", "Hg", "Pu", "Pu", "Hg", "Hg", "Hg"], "frac_coords": [[0.868, 0.660, 0.250], [0.132, 0.340, 0.750], [0.627, 0.267, 0.530], [0.107, 0.191, 0.250], [0.893, 0.809, 0.750], [0.373, 0.733, 0.470], [0.627, 0.267, 0.970], [0.373, 0.733, 0.030]]}

=====

{"formula": "Ag4PS5", "functional": "PBE-GGA", "state": "optimized geometry", "dft_energy_ev_per_cell": -37.42, "raw_formation_energy_ev_per_atom": 0.00, "mass_density_g_cm3": 5.1, "crystal_system": "tetragonal", "cell": [[-0.333, -3.039, -5.348], [1.239, -6.383, 0.002], [-5.709, -2.595, -1.718]], "species": ["S", "S", "P", "S", "Ag", "S", "Ag", "Ag", "Ag", "S"], "frac_coords": [[0.226, 0.786, 0.688], [0.012, 0.688, 0.214], [0.036, 0.000, 0.000], [0.700, 0.214, 0.312], [0.420, 0.397, 0.881], [0.386, 0.000, 0.000], [0.699, 0.603, 0.119], [0.818, 0.881, 0.603], [0.301, 0.119, 0.397], [0.914, 0.312, 0.786]]}

=====

{"formula": "Sm4Ho2Pb3O2", "functional": "PBE-GGA", "state": "optimized geometry", "dft_energy_ev_per_cell": -64.03, "raw_formation_energy_ev_per_atom": -1.36, "mass_density_g_cm3": 9.1, "crystal_system": "tetragonal", "cell": [[-3.354, -3.191, -1.150], [3.245, -2.549, -2.393], [2.693, -3.724, 12.374]], "species": ["Pb", "Ho", "Sm", "Pb", "Sm", "Ho", "O", "Sm", "Sm", "O", "Pb"], "frac_coords": [[0.818, 0.818, 0.637], [0.307, 0.307, 0.614], [0.084, 0.584, 0.169], [0.000, 0.000, 0.000], [0.916, 0.416, 0.831], [0.693, 0.693, 0.386], [0.605, 0.605, 0.209], [0.584, 0.084, 0.169], [0.416, 0.916, 0.831], [0.395, 0.395, 0.791], [0.182, 0.182, 0.363]]}

=====

{"formula": "PmNd2Cd5", "functional": "PBE-GGA", "state": "optimized geometry", "dft_energy_ev_per_cell": -21.40, "ef_ev_per_atom": -0.3169, "mass_density_g_cm3": 7.8, "crystal_system": "tetragonal", "cell": [[-3.160, -3.962, 1.250], [3.908, -3.367, -0.794], [1.724, 4.342, 7.222]], "species": ["Cd", "Cd", "Nd", "Cd", "Nd", "Cd", "Cd", "Pm"], "frac_coords": [[0.883, 0.383, 0.767], [0.500, 0.500, 0.000], [0.264, 0.264, 0.529], [0.117, 0.617, 0.233], [0.736, 0.736, 0.471], [0.617, 0.117, 0.233], [0.383, 0.883, 0.767], [0.000, 0.000, 0.000]]}

=====

{"formula": "Tm4TiIn5", "functional": "PBE-GGA", "state": "optimized geometry", "dft_energy_ev_per_cell": -42.80, "ef_ev_per_atom": -0.3329, "mass_density_g_cm3": 8.8, "crystal_system": "tetragonal", "cell": [[-0.140, -3.634, -0.271], [3.463, -0.217, 1.124], [-5.732, -1.080, 17.456]], "species": ["In", "In", "In", "In", "Tm", "Ti", "Tm", "Tm", "Tm", "In"], "frac_coords": [[0.500, 0.500, 0.918], [0.500, 0.500, 0.710], [0.500, 0.500, 0.082], [0.500, 0.500, 0.290], [0.000, 0.000, 0.815], [0.000, 0.000, 0.000], [0.000, 0.000, 0.606], [0.000, 0.000, 0.394], [0.000, 0.000, 0.185], [0.500, 0.500, 0.500]]}

=====

{"formula": "TaMnOs2", "functional": "PBE-GGA", "state": "optimized geometry", "dft_energy_ev_per_cell": -42.90, "ef_ev_per_atom": 0.1453, "mass_density_g_cm3": 17.0, "crystal_system": "orthorhombic", "cell": [[-1.379, -1.013, 2.153], [2.575, 0.663, 0.703], [-2.582, 7.861, 2.043]], "species": ["Ta", "Os", "Mn", "Os"], "frac_coords": [[0.500, 0.500, 0.250], [0.000, 0.000, 0.509], [0.500, 0.500, 0.750], [0.000, 0.000, 0.991]]}

=====

{"formula": "AcZn2H8Ru", "functional": "PBE-GGA", "state": "optimized geometry", "dft_energy_ev_per_cell": -44.85, "mass_density_g_cm3": 6.7, "crystal_system": "trigonal", "cell": [[4.437, 0.000, 0.000], [-2.219, 3.843, 0.000], [0.000, 0.000, 6.799]], "species": ["H", "H", "H", "Ru", "Zn", "H", "Zn", "H", "H", "H", "H", "Ac"], "frac_coords": [[0.167, 0.333, 0.166], [0.333, 0.167, 0.834], [0.333, 0.667, 0.594], [0.000, 0.000, 0.000], [0.333, 0.667, 0.864], [0.167, 0.833, 0.166], [0.667, 0.333, 0.136], [0.833, 0.667, 0.834], [0.667, 0.833, 0.166], [0.667, 0.333, 0.406], [0.833, 0.167, 0.834], [0.000, 0.000, 0.500]]}